No. 1
SnGe2S2 | the Alexandria database | PBE | optimized geometry; ΔE_f (raw) = 0.047 eV/atom; Fermi-level density of states = 3.045 states/eV/f.u.; size of the total moment = 0.0 μB per formula unit; mass density = 4.59 Mg/m³
1.0
8.328 0.000 0.000
0.000 8.328 0.000
0.000 0.000 3.427
Sn Ge S
2 4 4
Direct
0.000 0.000 0.000
0.500 0.500 0.000
0.220 0.280 0.000
0.280 0.780 0.000
0.720 0.220 0.000
0.780 0.720 0.000
0.143 0.643 0.500
0.357 0.143 0.500
0.643 0.857 0.500
0.857 0.357 0.500



No. 2
Ga2FeRuI | the Alexandria database | PBE | optimized geometry; ΔE_f (raw) = 0.628 eV/atom; Fermi-level density of states = 7.688 states/eV/f.u.; size of the total moment = 0.3 μB per formula unit; mass density = 6.58 Mg/m³
1.0
4.762 0.000 0.000
0.000 4.762 0.000
0.000 0.000 4.710
Ga Fe Ru I
2 1 1 1
Direct
0.000 0.500 0.000
0.500 0.000 0.000
0.000 0.000 0.500
0.000 0.000 0.000
0.500 0.500 0.500



No. 3
IrPd2SeF | the Alexandria database | PBE | optimized geometry; ΔE_f (raw) = 0.495 eV/atom; Fermi-level density of states = 7.582 states/eV/f.u.; size of the total moment = 0.6 μB per formula unit; mass density = 9.64 Mg/m³
1.0
4.735 0.000 0.000
0.000 4.735 0.000
0.000 0.000 3.864
Ir Pd Se F
1 2 1 1
Direct
0.000 0.000 0.000
0.000 0.500 0.500
0.500 0.000 0.500
0.500 0.500 0.500
0.500 0.500 0.000



No. 4
SrCa2CrPb | the Alexandria database | PBE | optimized geometry; Fermi-level density of states = 4.010 states/eV/f.u.; size of the total moment = 3.3 μB per formula unit; mass density = 4.08 Mg/m³; E_form = 0.234 eV/atom
1.0
5.696 0.000 0.000
0.000 5.696 0.000
0.000 0.000 5.356
Sr Ca Cr Pb
1 2 1 1
Direct
0.000 0.000 0.000
0.000 0.500 0.500
0.500 0.000 0.500
0.500 0.500 0.500
0.500 0.500 0.000



No. 5
Hf2BeBOs | the Alexandria database | PBE | optimized geometry; Fermi-level density of states = 3.607 states/eV/f.u.; size of the total moment = 0.0 μB per formula unit; mass density = 12.68 Mg/m³; E_form = 0.259 eV/atom
1.0
4.718 0.000 0.000
0.000 4.718 0.000
0.000 0.000 3.335
Hf Be B Os
2 1 1 1
Direct
0.000 0.500 0.000
0.500 0.000 0.000
0.000 0.000 0.000
0.000 0.000 0.500
0.500 0.500 0.500



No. 6
Y4GaSnC | the Alexandria database | PBE | optimized geometry; Fermi-level density of states = 4.554 states/eV/f.u.; size of the total moment = 0.0 μB per formula unit; mass density = 5.17 Mg/m³; E_form = -0.545 eV/atom
1.0
3.396 -7.744 0.000
3.396 7.744 0.000
0.000 0.000 6.792
Y Ga Sn C
8 2 2 2
Direct
0.000 0.500 0.000
0.000 0.500 0.500
0.082 0.918 0.750
0.411 0.589 0.750
0.500 0.000 0.000
0.500 0.000 0.500
0.589 0.411 0.250
0.918 0.082 0.250
0.117 0.883 0.250
0.883 0.117 0.750
0.389 0.611 0.250
0.611 0.389 0.750
0.248 0.752 0.750
0.752 0.248 0.250



- Look up the size of the total moment of the fourth one.
  3.3 μB per formula unit